1.
DFT (PBE) results for LaTcAg after structural relaxation.

Cell lengths 3.6376, 3.6376, 9.9926 Å; angles 90.00, 90.00, 90.00 degrees
Space group I4mm (No. 107)
Asymmetric unit:
La 0.0000 0.0000 0.0000 (multiplicity 2)
Tc 0.0000 0.0000 0.6884 (multiplicity 2)
Ag 0.0000 0.0000 0.3012 (multiplicity 2)

Properties
ΔH_f (0 K)   40.60 kJ/mol of atoms
Offset from the most stable computed form   0.000 eV per formula unit
Theoretical density   8.66 Mg/m³
Magnetic moment   0.00 μB/f.u.

=====

2.
DFT (PBE) results for Ac5InCu2 after structural relaxation.

Cell lengths 8.6718, 8.6718, 14.2943 Å; angles 90.00, 90.00, 90.00 degrees
Space group I4/mcm (No. 140)
Asymmetric unit:
Ac 0.0000 0.0000 0.0000 (multiplicity 4)
Ac 0.1558 0.3442 0.1421 (multiplicity 16)
In 0.0000 0.0000 0.2500 (multiplicity 4)
Cu 0.1280 0.3720 0.5000 (multiplicity 8)

Properties
ΔH_f (0 K)   -15.02 kJ/mol of atoms
Theoretical density   8.51 Mg/m³
Magnetic moment   0.00 μB/f.u.

=====

3.
DFT (PBE) results for CaGaP after structural relaxation.

Cell lengths 7.0499, 4.4063, 8.5556 Å; angles 90.00, 90.00, 90.00 degrees
Space group Pnma (No. 62)
Asymmetric unit:
Ca 0.1288 0.2500 0.1633 (multiplicity 4)
Ga 0.0111 0.7500 0.4248 (multiplicity 4)
P 0.1565 0.2500 0.8239 (multiplicity 4)

Properties
ΔH_f (0 K)   -76.69 kJ/mol of atoms
Offset from the most stable computed form   0.000 eV per formula unit
Theoretical density   3.52 Mg/m³
Magnetic moment   0.00 μB/f.u.

=====

4.
DFT (PBE) results for Ca7CoN6 after structural relaxation.

Cell lengths 10.8509, 6.2441, 12.9245 Å; angles 90.00, 90.00, 90.00 degrees
Space group Pbcn (No. 60)
Asymmetric unit:
Ca 0.0000 0.0545 0.2500 (multiplicity 4)
Ca 0.0395 0.2301 0.5227 (multiplicity 8)
Ca 0.2025 0.3887 0.1236 (multiplicity 8)
Ca 0.2263 0.3594 0.8740 (multiplicity 8)
Co 0.0000 0.4350 0.7500 (multiplicity 4)
N 0.0511 0.3849 0.3535 (multiplicity 8)
N 0.1278 0.2569 0.7086 (multiplicity 8)
N 0.1668 0.0938 0.9975 (multiplicity 8)

Properties
Uncorrected formation energy   -651 meV/atom
Theoretical density   3.21 Mg/m³
Magnetic moment   1.01 μB/f.u.

=====

5.
DFT (PBE) results for Tc2Ni after structural relaxation.

Cell lengths 2.5911, 2.5911, 24.5631 Å; angles 90.00, 90.00, 90.00 degrees
Space group I4_1/amd (No. 141, origin choice 2)
Asymmetric unit:
Tc 0.0000 0.2500 0.2984 (multiplicity 8)
Ni 0.0000 0.2500 0.8750 (multiplicity 4)

Properties
ΔH_f (0 K)   25.36 kJ/mol of atoms
Offset from the most stable computed form   1.003 eV per formula unit
Theoretical density   10.26 Mg/m³
Magnetic moment   0.00 μB/f.u.

=====

6.
DFT (PBE) results for Hf2CdPb2 after structural relaxation.

Cell lengths 8.7093, 8.7093, 3.2982 Å; angles 90.00, 90.00, 90.00 degrees
Space group P4/mbm (No. 127)
Asymmetric unit:
Hf 0.1308 0.3692 0.0000 (multiplicity 4)
Cd 0.0000 0.0000 0.5000 (multiplicity 2)
Pb 0.1647 0.6647 0.5000 (multiplicity 4)

Properties
ΔH_f (0 K)   20.38 kJ/mol of atoms
Offset from the most stable computed form   0.297 eV per formula unit
Theoretical density   11.73 Mg/m³
Magnetic moment   0.00 μB/f.u.

=====

7.
DFT (PBE) results for UTaIr2 after structural relaxation.

Cell lengths 4.4363, 4.4363, 13.4980 Å; angles 90.00, 90.00, 120.00 degrees
Space group R-3m (No. 166, hexagonal axes)
Asymmetric unit:
U 0.0000 0.0000 0.0000 (multiplicity 3)
Ta 0.0000 0.0000 0.5000 (multiplicity 3)
Ir 0.0000 0.0000 0.2226 (multiplicity 6)

Properties
ΔH_f (0 K)   -32.45 kJ/mol of atoms
Offset from the most stable computed form   0.533 eV per formula unit
Theoretical density   17.40 Mg/m³
Magnetic moment   1.40 μB/f.u.

=====

8.
DFT (PBE) results for Sr2CuP3Pd4 after structural relaxation.

Cell lengths 4.3191, 4.3191, 9.8513 Å; angles 90.00, 90.00, 90.00 degrees
Space group P-4m2 (No. 115)
Asymmetric unit:
Sr 0.0000 0.5000 0.2454 (multiplicity 2)
Cu 0.5000 0.5000 0.0000 (multiplicity 1)
P 0.0000 0.0000 0.0000 (multiplicity 1)
P 0.0000 0.5000 0.6295 (multiplicity 2)
Pd 0.0000 0.0000 0.5000 (multiplicity 1)
Pd 0.0000 0.5000 0.8736 (multiplicity 2)
Pd 0.5000 0.5000 0.5000 (multiplicity 1)

Properties
ΔH_f (0 K)   -68.64 kJ/mol of atoms
Theoretical density   6.84 Mg/m³
Magnetic moment   0.00 μB/f.u.

=====

9.
DFT (PBE) results for Co2Se after structural relaxation.

Cell lengths 4.0625, 4.0625, 5.2314 Å; angles 90.00, 90.00, 120.00 degrees
Space group P6_3/mmc (No. 194)
Asymmetric unit:
Co 0.0000 0.0000 0.0000 (multiplicity 2)
Co 0.3333 0.6667 0.2500 (multiplicity 2)
Se 0.3333 0.6667 0.7500 (multiplicity 2)

Properties
Uncorrected formation energy   239 meV/atom
Offset from the most stable computed form   1.109 eV per formula unit
Theoretical density   8.74 Mg/m³
Magnetic moment   1.90 μB/f.u.

=====

10.
DFT (PBE) results for YMg9Cd2 after structural relaxation.

Cell lengths 12.0901, 12.0901, 7.6936 Å; angles 90.00, 90.00, 90.00 degrees
Space group I4_1/amd (No. 141, origin choice 2)
Asymmetric unit:
Y 0.0000 0.2500 0.3750 (multiplicity 4)
Mg 0.0000 0.2500 0.8750 (multiplicity 4)
Mg 0.1213 0.0496 0.6759 (multiplicity 32)
Cd 0.0000 0.0000 0.0000 (multiplicity 8)

Properties
ΔH_f (0 K)   -4.98 kJ/mol of atoms
Theoretical density   3.14 Mg/m³
Magnetic moment   0.00 μB/f.u.

=====

11.
DFT (PBE) results for LiTb2P3Pt12 after structural relaxation.

Cell lengths 8.2786, 8.2786, 17.1044 Å; angles 90.00, 90.00, 120.00 degrees
Space group R-3m (No. 166, hexagonal axes)
Asymmetric unit:
Li 0.0000 0.0000 0.0000 (multiplicity 3)
Tb 0.0000 0.0000 0.3879 (multiplicity 6)
P 0.0000 0.5000 0.5000 (multiplicity 9)
Pt 0.0012 0.5006 0.6318 (multiplicity 18)
Pt 0.0322 0.5161 0.8619 (multiplicity 18)

Properties
ΔH_f (0 K)   -47.04 kJ/mol of atoms
Theoretical density   13.54 Mg/m³
Magnetic moment   0.00 μB/f.u.

=====

12.
DFT (PBE) results for Ni6Pd2Rh after structural relaxation.

Cell lengths 4.8276, 4.8276, 5.8203 Å; angles 90.00, 90.00, 120.00 degrees
Space group P-3m1 (No. 164)
Asymmetric unit:
Ni 0.1723 0.3447 0.3373 (multiplicity 6)
Pd 0.3333 0.6667 0.9072 (multiplicity 2)
Rh 0.0000 0.0000 0.0000 (multiplicity 1)

Properties
ΔH_f (0 K)   20.55 kJ/mol of atoms
Theoretical density   9.44 Mg/m³
Magnetic moment   5.52 μB/f.u.

=====

no.,VASP energy (eV/atom),Fermi-level density of states (states/eV/cell)
1,-5.627,7.8
2,-4.090,38.2
3,-4.274,2.1
4,-5.727,14.4
5,-8.575,15.6
6,-5.437,4.9
7,-10.552,16.1
8,-5.157,4.7
9,-5.660,5.5
10,-1.939,24.1
11,-6.037,13.9
12,-5.612,12.6